Computed, not measured: a relaxed ZrBiPO2 crystal at the PBE level of DFT.

```
5
Lattice="-3.010 2.662 0.905 -2.249 -1.483 -3.116 -2.241 -3.678 3.368" Properties=species:S:1:pos:R:3 pbc="T T T"
O -1.124 -0.742 -1.558
O -1.505 1.331 0.452
P -1.120 -1.839 1.684
Zr 0.000 0.000 0.000
Bi -3.750 -1.250 0.578
```

Computed properties:
Space-group type = No. 123
Formation energy without anion corrections = -7.18 eV/f.u.
Theoretical density = 6.502 Mg/m³
Uncorrected energy = -6.9874 eV/atom
Energy above the most stable polymorph in this dataset = 0 meV/atom